[1]
# TaAg2Pt

A PBEsol-optimized structure of TaAg2Pt (SCAN, Alexandria).

Cell: 2.7688 4.9156 4.8137 Å, 90.00 91.73 90.00°
Last column: nearest neighbours and their distance in Å.
Space group P2/m (No. 10)
Symmetry-distinct sites (fractional):
Ta  0.0000  0.0000  0.0000 (multiplicity 1)  4 Pt 2.74-2.81, 2 Ta 2.77, 4 Ag 2.85
Ag  0.2698  0.5000  0.7506 (multiplicity 2)  6 Ag 2.68-2.87, 2 Pt 2.82, 2 Ta 2.85
Pt  0.5000  0.0000  0.5000 (multiplicity 1)  4 Ta 2.74-2.81, 2 Pt 2.77, 4 Ag 2.82

Values from the calculation:
Final energy in Ry/atom: -3.6687
Energy above the lowest structure with this stoichiometry in eV/atom: 0.047
Total magnetic moment in μB/atom: 0.000
Energy of formation from the pure elements in eV per atom: -0.0370

***

[2]
# TaAg2Pt

A PBEsol-optimized structure of TaAg2Pt (SCAN, Alexandria).

Cell: 4.7576 4.7576 2.8944 Å, 90.00 90.00 90.00°
Last column: nearest neighbours and their distance in Å.
Space group P4/mmm (No. 123)
Symmetry-distinct sites (fractional):
Ta  0.0000  0.0000  0.0000 (multiplicity 1)  8 Ag 2.78, 2 Ta 2.89
Ag  0.0000  0.5000  0.5000 (multiplicity 2)  4 Ta 2.78, 4 Pt 2.78, 2 Ag 2.89
Pt  0.5000  0.5000  0.0000 (multiplicity 1)  8 Ag 2.78, 2 Pt 2.89

Values from the calculation:
Final energy in Ry/atom: -3.6323
Energy above the lowest structure with this stoichiometry in eV/atom: 0.542
Total magnetic moment in μB/atom: 0.000
Energy of formation from the pure elements in eV per atom: 0.4578

***

[3]
# TaAg2Pt

A PBEsol-optimized structure of TaAg2Pt (SCAN, Alexandria).

Cell: 3.5015 3.5015 5.3742 Å, 90.00 90.00 90.00°
Last column: nearest neighbours and their distance in Å.
Space group P4/mmm (No. 123)
Symmetry-distinct sites (fractional):
Ta  0.0000  0.0000  0.0000 (multiplicity 1)  2 Pt 2.69, 8 Ag 2.82
Ag  0.5000  0.5000  0.2530 (multiplicity 2)  2 Ag 2.65-2.72, 4 Pt 2.81, 4 Ta 2.82
Pt  0.0000  0.0000  0.5000 (multiplicity 1)  2 Ta 2.69, 8 Ag 2.81

Values from the calculation:
Final energy in Ry/atom: -3.6474
Energy above the lowest structure with this stoichiometry in eV/atom: 0.336
Total magnetic moment in μB/atom: 0.000
Energy of formation from the pure elements in eV per atom: 0.2519